The following is a PBE calculation of a relaxed structure of Tb3PmNd6, from the Alexandria database.

Summary:
theoretical density: 7.2 g/cm³
E above lowest polymorph: 0 meV/atom

CIF file:
```
data_Tb3PmNd6
_cell_length_a 9.858
_cell_length_b 21.512
_cell_length_c 6.509
_cell_angle_alpha 90.00
_cell_angle_beta 90.00
_cell_angle_gamma 90.00
_space_group_name_H-M_alt 'C m c 21'
_space_group_IT_number 36
_space_group_name_Hall 'C 2c -2'
loop_
_atom_site_label
_atom_site_type_symbol
_atom_site_fract_x
_atom_site_fract_y
_atom_site_fract_z
Tb1 Tb 0.000 0.080 0.000
Tb2 Tb 0.168 0.373 0.392
Pm1 Pm 0.000 0.344 0.917
Nd1 Nd 0.000 0.200 0.709
Nd2 Nd 0.000 0.486 0.704
Nd3 Nd 0.174 0.218 0.232
Nd4 Nd 0.179 0.060 0.480
```

The following is a PBE calculation of a relaxed structure of KSiIr2, from the Alexandria database.

Summary:
formation energy from raw total energies: 0.1287 eV/atom
theoretical density: 8.9 g/cm³

CIF file:
```
data_KSiIr2
_cell_length_a 2.857
_cell_length_b 4.412
_cell_length_c 6.765
_cell_angle_alpha 90.00
_cell_angle_beta 99.28
_cell_angle_gamma 90.00
_space_group_name_H-M_alt 'P 1 m 1'
_space_group_IT_number 6
_space_group_name_Hall 'P -2y'
loop_
_atom_site_label
_atom_site_type_symbol
_atom_site_fract_x
_atom_site_fract_y
_atom_site_fract_z
K1 K 0.000 0.000 0.000
Si1 Si 0.620 0.500 0.320
Ir1 Ir 0.228 0.500 0.600
Ir2 Ir 0.695 0.000 0.522
```

The following is a PBE calculation of a relaxed structure of LaSI, from the Alexandria database.

Summary:
formation energy from raw total energies: -1.9164 eV/atom
theoretical density: 5.1 g/cm³

CIF file:
```
data_LaSI
_cell_length_a 7.145
_cell_length_b 14.817
_cell_length_c 7.381
_cell_angle_alpha 90.00
_cell_angle_beta 90.00
_cell_angle_gamma 90.00
_space_group_name_H-M_alt 'P b c a'
_space_group_IT_number 61
_space_group_name_Hall '-P 2ac 2ab'
loop_
_atom_site_label
_atom_site_type_symbol
_atom_site_fract_x
_atom_site_fract_y
_atom_site_fract_z
La1 La 0.244 0.084 0.028
S1 S 0.000 0.021 0.743
I1 I 0.172 0.701 0.405
```

The following is a PBE calculation of a relaxed structure of La5YS6, from the Alexandria database.

Summary:
formation energy from raw total energies: -2.1381 eV/atom
theoretical density: 5.5 g/cm³

CIF file:
```
data_La5YS6
_cell_length_a 7.130
_cell_length_b 12.366
_cell_length_c 7.131
_cell_angle_alpha 90.00
_cell_angle_beta 109.66
_cell_angle_gamma 90.00
_space_group_name_H-M_alt 'C 1 2/m 1'
_space_group_IT_number 12
_space_group_name_Hall '-C 2y'
loop_
_atom_site_label
_atom_site_type_symbol
_atom_site_fract_x
_atom_site_fract_y
_atom_site_fract_z
La1 La 0.000 0.000 0.000
La2 La 0.000 0.166 0.500
La3 La 0.000 0.330 0.000
Y1 Y 0.000 0.500 0.500
S1 S 0.241 0.500 0.255
S2 S 0.242 0.339 0.742
```

The following is a PBE calculation of a relaxed structure of KNaS2, from the Alexandria database.

Summary:
formation energy from raw total energies: -0.1553 eV/atom
theoretical density: 1.6 g/cm³
E above lowest polymorph: 659 meV/atom

CIF file:
```
data_KNaS2
_cell_length_a 4.0194
_cell_length_b 4.0194
_cell_length_c 28.8365
_cell_angle_alpha 90.00
_cell_angle_beta 90.00
_cell_angle_gamma 120.00
_space_group_name_H-M_alt 'R -3 m'
_space_group_IT_number 166
_space_group_name_Hall '-R 3 2"'
loop_
_atom_site_label
_atom_site_type_symbol
_atom_site_fract_x
_atom_site_fract_y
_atom_site_fract_z
K1 K 0.0000 0.0000 0.0000
Na1 Na 0.0000 0.0000 0.5000
S1 S 0.0000 0.0000 0.4102
```

The following is a PBE calculation of a relaxed structure of NpH4Ru, from the Alexandria database.

Summary:
theoretical density: 10.3 g/cm³
E above lowest polymorph: 0 meV/atom

CIF file:
```
data_NpH4Ru
_cell_length_a 3.825
_cell_length_b 12.020
_cell_length_c 4.794
_cell_angle_alpha 90.00
_cell_angle_beta 90.00
_cell_angle_gamma 90.00
_space_group_name_H-M_alt 'C m c m'
_space_group_IT_number 63
_space_group_name_Hall '-C 2c 2'
loop_
_atom_site_label
_atom_site_type_symbol
_atom_site_fract_x
_atom_site_fract_y
_atom_site_fract_z
Np1 Np 0.000 0.129 0.250
H1 H 0.000 0.097 0.750
H2 H 0.000 0.298 0.508
H3 H 0.000 0.500 0.000
Ru1 Ru 0.000 0.396 0.250
```

The following is a PBE calculation of a relaxed structure of BPRhCl, from the Alexandria database.

Summary:
formation energy from raw total energies: -0.1685 eV/atom
theoretical density: 3.6 g/cm³
E above lowest polymorph: 54 meV/atom

CIF file:
```
data_BPRhCl
_cell_length_a 3.535
_cell_length_b 3.623
_cell_length_c 6.896
_cell_angle_alpha 102.68
_cell_angle_beta 97.24
_cell_angle_gamma 102.27
_space_group_name_H-M_alt 'P 1'
_space_group_IT_number 1
_space_group_name_Hall 'P 1'
loop_
_atom_site_label
_atom_site_type_symbol
_atom_site_fract_x
_atom_site_fract_y
_atom_site_fract_z
B1 B 0.000 0.000 0.000
P1 P 0.279 0.457 0.194
Rh1 Rh 0.892 0.879 0.258
Cl1 Cl 0.888 0.775 0.745
```

The following is a PBE calculation of a relaxed structure of PmDy2Pa, from the Alexandria database.

Summary:
theoretical density: 9.7 g/cm³
E above lowest polymorph: 171 meV/atom

CIF file:
```
data_PmDy2Pa
_cell_length_a 3.3448
_cell_length_b 3.3448
_cell_length_c 36.9824
_cell_angle_alpha 90.00
_cell_angle_beta 90.00
_cell_angle_gamma 120.00
_space_group_name_H-M_alt 'R -3 m'
_space_group_IT_number 166
_space_group_name_Hall '-R 3 2"'
loop_
_atom_site_label
_atom_site_type_symbol
_atom_site_fract_x
_atom_site_fract_y
_atom_site_fract_z
Pm1 Pm 0.0000 0.0000 0.0000
Dy1 Dy 0.0000 0.0000 0.4134
Pa1 Pa 0.0000 0.0000 0.5000
```

The following is a PBE calculation of a relaxed structure of Ac3Al2Ge3, from the Alexandria database.

Summary:
theoretical density: 7.2 g/cm³
E above lowest polymorph: 2 meV/atom

CIF file:
```
data_Ac3Al2Ge3
_cell_length_a 4.421
_cell_length_b 11.990
_cell_length_c 16.510
_cell_angle_alpha 90.00
_cell_angle_beta 90.00
_cell_angle_gamma 90.00
_space_group_name_H-M_alt 'C m c m'
_space_group_IT_number 63
_space_group_name_Hall '-C 2c 2'
loop_
_atom_site_label
_atom_site_type_symbol
_atom_site_fract_x
_atom_site_fract_y
_atom_site_fract_z
Ac1 Ac 0.000 0.040 0.250
Ac2 Ac 0.000 0.348 0.091
Al1 Al 0.000 0.362 0.621
Ge1 Ge 0.000 0.073 0.056
Ge2 Ge 0.000 0.235 0.750
```

The following is a PBE calculation of a relaxed structure of Hf2HgOs, from the Alexandria database.

Summary:
theoretical density: 16.0 g/cm³

CIF file:
```
data_Hf2HgOs
_cell_length_a 3.203
_cell_length_b 3.203
_cell_length_c 7.551
_cell_angle_alpha 90.00
_cell_angle_beta 90.00
_cell_angle_gamma 90.00
_space_group_name_H-M_alt 'P 4/m m m'
_space_group_IT_number 123
_space_group_name_Hall '-P 4 2'
loop_
_atom_site_label
_atom_site_type_symbol
_atom_site_fract_x
_atom_site_fract_y
_atom_site_fract_z
Hf1 Hf 0.000 0.000 0.218
Hg1 Hg 0.500 0.500 0.500
Os1 Os 0.500 0.500 0.000
```

The following is a PBE calculation of a relaxed structure of Rb2TaReTc, from the Alexandria database.

Summary:
theoretical density: 5.0 g/cm³

CIF file:
```
data_Rb2TaReTc
_cell_length_a 6.743
_cell_length_b 6.743
_cell_length_c 4.689
_cell_angle_alpha 90.00
_cell_angle_beta 90.00
_cell_angle_gamma 90.00
_space_group_name_H-M_alt 'P 4/m m m'
_space_group_IT_number 123
_space_group_name_Hall '-P 4 2'
loop_
_atom_site_label
_atom_site_type_symbol
_atom_site_fract_x
_atom_site_fract_y
_atom_site_fract_z
Rb1 Rb 0.000 0.500 0.000
Ta1 Ta 0.000 0.000 0.000
Re1 Re 0.000 0.000 0.500
Tc1 Tc 0.500 0.500 0.500
```

The following is a PBE calculation of a relaxed structure of Rb2HfBr, from the Alexandria database.

Summary:
formation energy from raw total energies: 0.3884 eV/atom
theoretical density: 3.3 g/cm³
E above lowest polymorph: 0 meV/atom

CIF file:
```
data_Rb2HfBr
_cell_length_a 12.818
_cell_length_b 12.818
_cell_length_c 5.257
_cell_angle_alpha 90.00
_cell_angle_beta 90.00
_cell_angle_gamma 90.00
_space_group_name_H-M_alt 'I -4 2 d'
_space_group_IT_number 122
_space_group_name_Hall 'I -4 2bw'
loop_
_atom_site_label
_atom_site_type_symbol
_atom_site_fract_x
_atom_site_fract_y
_atom_site_fract_z
Rb1 Rb 0.104 0.750 0.125
Hf1 Hf 0.000 0.000 0.500
Br1 Br 0.000 0.000 0.000
```

Computed values of calculated total energy (unit: eV/atom) for the preceding records, in sequence: -4.603 -5.932 -5.451 -6.794 -2.823 -6.087 -5.490 -5.564 -4.778 -8.210 -4.763 -3.002.